Computed, not measured: ZrPbSe2 after structural relaxation at the PBE level of DFT.

a = 5.088 Å, b = 5.088 Å, c = 5.088 Å
α = 60.00°, β = 60.00°, γ = 60.00°
Fractional positions:
Zr1 0.750 0.750 0.750
Se1 0.250 0.250 0.250
Se2 0.000 0.000 0.000
Pb1 0.500 0.500 0.500

Calculated values
total moment = 0.010 μB per atom
ΔE_f (raw) = 38 kJ/mol of formula units